Record 1
Below is a relaxed structure of FePSe2Br, with properties calculated at the PBE level.

```
FePSe2Br
1.0
4.8995 0.0000 0.0000
0.0000 4.8995 0.0000
0.0000 0.0000 4.8979
Fe P Se Br
1 1 2 1
direct
0.0000 0.0000 0.0000
0.5000 0.5000 0.5000
0.0000 0.5000 0.5000
0.5000 0.0000 0.5000
0.5000 0.5000 0.0000
```

Its spin magnetization is 4.05 μB/cell. The calculation puts the energy above the most stable polymorph in this dataset at 9.7 kJ/mol of atoms. For the uncorrected formation energy, the calculation gives 752.7 meV per atom. As for the total energy: -3.75 eV per atom.



Record 2
Below is a relaxed structure of CsRbNa2Pb, with properties calculated at the PBE level.

```
CsRbNa2Pb
1.0
6.3266 0.0000 0.0000
0.0000 6.3266 0.0000
0.0000 0.0000 7.0897
Cs Rb Na Pb
1 1 2 1
direct
0.0000 0.0000 0.0000
0.5000 0.5000 0.0000
0.0000 0.5000 0.5000
0.5000 0.0000 0.5000
0.5000 0.5000 0.5000
```

Its spin magnetization is 0.00 μB/cell. The calculation puts the energy above the most stable polymorph in this dataset at 0.0 kJ/mol of atoms. As for the total energy: -1.66 eV per atom. For the formation energy from the elements, the calculation gives -0.0218 eV/atom.



Record 3
Below is a relaxed structure of PmPF, with properties calculated at the PBE level.

```
PmPF
1.0
2.8247 -2.6950 0.0000
2.8247 2.6950 0.0000
0.0000 0.0000 14.1862
Pm P F
4 4 4
direct
0.1304 0.8696 0.8635
0.3696 0.6304 0.3635
0.6304 0.3696 0.6365
0.8696 0.1304 0.1365
0.1219 0.8781 0.5616
0.3781 0.6219 0.0616
0.6219 0.3781 0.9384
0.8781 0.1219 0.4384
0.1187 0.3813 0.7500
0.3813 0.1187 0.2500
0.6187 0.8813 0.7500
0.8813 0.6187 0.2500
```

Its spin magnetization is 0.00 μB/cell. The calculation puts the energy above the most stable polymorph in this dataset at 0.0 kJ/mol of atoms. For the uncorrected formation energy, the calculation gives -2430.1 meV per atom. As for the total energy: -6.44 eV per atom.



Record 4
Below is a relaxed structure of TmPuAl4, with properties calculated at the PBE level.

```
TmPuAl4
1.0
0.0000 3.9079 3.9079
3.9079 0.0000 3.9079
3.9079 3.9079 0.0000
Tm Pu Al
1 1 4
direct
0.0000 0.0000 0.0000
0.2500 0.2500 0.2500
0.1263 0.6246 0.6246
0.6246 0.1263 0.6246
0.6246 0.6246 0.1263
0.6246 0.6246 0.6246
```

Its spin magnetization is 6.11 μB/cell. As for the total energy: -6.01 eV per atom. For the formation energy from the elements, the calculation gives -0.3833 eV/atom.



Record 5
Below is a relaxed structure of KTl2Os, with properties calculated at the PBE level.

```
KTl2Os
1.0
5.1283 0.0000 0.0000
0.0000 5.1283 0.0000
0.0000 0.0000 3.6047
K Tl Os
1 2 1
direct
0.0000 0.0000 0.0000
0.0000 0.5000 0.5000
0.5000 0.0000 0.5000
0.5000 0.5000 0.0000
```

Its spin magnetization is 0.00 μB/cell. The calculation puts the energy above the most stable polymorph in this dataset at 47.0 kJ/mol of atoms. As for the total energy: -3.23 eV per atom. For the formation energy from the elements, the calculation gives 1.0382 eV/atom.



Record 6
Below is a relaxed structure of KMo2Br, with properties calculated at the PBE level.

```
KMo2Br
1.0
3.3886 0.0000 0.0000
0.0000 4.4292 0.0000
0.0000 0.0000 7.0016
K Mo Br
1 2 1
direct
0.0000 0.0000 0.0000
0.0000 0.5000 0.5000
0.5000 0.0000 0.5000
0.5000 0.5000 0.0000
```

Its spin magnetization is 0.13 μB/cell. The calculation puts the energy above the most stable polymorph in this dataset at 65.1 kJ/mol of atoms. For the uncorrected formation energy, the calculation gives 923.8 meV per atom. As for the total energy: -5.18 eV per atom.